Here is a relaxed Ac4Fe3AgO12 crystal from Alexandria via LeMat-Bulk. Energies are from PBE+U.

Final energy: -6.911 eV/atom
Volume: 12.997 A^3/atom
Total magnetic moment: 7.74 μB/cell

abc: 6.9636 6.9636 6.9636
angles: 109.47 109.47 109.47
Last column: nearest neighbours and their distance in Å.
Sites, in units of the cell vectors:
Ac (0.0000, 0.0000, 0.5000)  12 O 2.84-2.85
Ac (0.0000, 0.5000, 0.0000)  12 O 2.84-2.85
Ac (0.5000, 0.0000, 0.0000)  12 O 2.84-2.85
Ac (0.5000, 0.5000, 0.5000)  12 O 2.84-2.85
Fe (0.0000, 0.5000, 0.5000)  6 O 1.89-2.01
Fe (0.5000, 0.0000, 0.5000)  6 O 1.89-2.01
Fe (0.5000, 0.5000, 0.0000)  6 O 1.89-2.01
Ag (0.0000, 0.0000, 0.0000)  6 O 2.13
O (0.0000, 0.2646, 0.2646)  1 Fe 1.89
O (0.0000, 0.7354, 0.7354)  1 Fe 1.89
O (0.2500, 0.5000, 0.7500)  2 Fe 2.01
O (0.2500, 0.7500, 0.5000)  2 Fe 2.01
O (0.2646, 0.0000, 0.2646)  1 Fe 1.89
O (0.2646, 0.2646, 0.0000)  1 Fe 1.89
O (0.5000, 0.2500, 0.7500)  2 Fe 2.01
O (0.5000, 0.7500, 0.2500)  2 Fe 2.01
O (0.7354, 0.0000, 0.7354)  1 Fe 1.89
O (0.7354, 0.7354, 0.0000)  1 Fe 1.89
O (0.7500, 0.2500, 0.5000)  2 Fe 2.01
O (0.7500, 0.5000, 0.2500)  2 Fe 2.01